[1]
This record from Alexandria describes an optimized crystal structure of Ba2Mg3Cd12In. The functional is PBE.

**E_tot**: -1.307 eV per atom
**Formation energy**: -1.18 eV per formula unit
**V**: 28.35 A^3/atom

Lattice parameters (Å, degrees): 12.920 12.920 12.920 31.09 31.09 31.09
Element x y z (fractional)
Ba1 0.142 0.142 0.142
Ba2 0.858 0.858 0.858
Mg1 0.000 0.500 0.500
Mg2 0.500 0.000 0.500
Mg3 0.500 0.500 0.000
Cd1 0.089 0.089 0.667
Cd2 0.089 0.667 0.089
Cd3 0.104 0.605 0.605
Cd4 0.333 0.911 0.911
Cd5 0.395 0.395 0.896
Cd6 0.395 0.896 0.395
Cd7 0.605 0.104 0.605
Cd8 0.605 0.605 0.104
Cd9 0.667 0.089 0.089
Cd10 0.896 0.395 0.395
Cd11 0.911 0.333 0.911
Cd12 0.911 0.911 0.333
In1 0.500 0.500 0.500

[2]
This record from Alexandria describes an optimized crystal structure of BaMg4Cd2In. The functional is PBE.

**E_tot**: -1.725 eV per atom
**Formation energy**: -0.93 eV per formula unit
**V**: 27.65 A^3/atom

Lattice parameters (Å, degrees): 10.761 10.761 10.761 26.66 26.66 26.66
Element x y z (fractional)
Ba1 0.000 0.000 0.000
Mg1 0.130 0.130 0.130
Mg2 0.406 0.406 0.406
Mg3 0.594 0.594 0.594
Mg4 0.870 0.870 0.870
Cd1 0.247 0.247 0.247
Cd2 0.753 0.753 0.753
In1 0.500 0.500 0.500

[3]
This record from Alexandria describes an optimized crystal structure of BaMgCd4In2. The functional is PBE.

**E_tot**: -1.743 eV per atom
**Formation energy**: -1.29 eV per formula unit
**V**: 27.49 A^3/atom

Lattice parameters (Å, degrees): 10.459 10.459 10.459 27.81 27.81 27.81
Element x y z (fractional)
Ba1 0.000 0.000 0.000
Mg1 0.500 0.500 0.500
Cd1 0.132 0.132 0.132
Cd2 0.400 0.400 0.400
Cd3 0.600 0.600 0.600
Cd4 0.868 0.868 0.868
In1 0.242 0.242 0.242
In2 0.758 0.758 0.758

[4]
This record from Alexandria describes an optimized crystal structure of BaMgCd2In2. The functional is PBE.

**E_tot**: -2.056 eV per atom
**Formation energy**: -1.51 eV per formula unit
**V**: 28.88 A^3/atom

Lattice parameters (Å, degrees): 4.989 4.989 8.041 90.00 90.00 120.00
Element x y z (fractional)
Ba1 0.000 0.000 0.000
Mg1 0.000 0.000 0.500
Cd1 0.333 0.667 0.689
Cd2 0.667 0.333 0.311
In1 0.333 0.667 0.285
In2 0.667 0.333 0.715

[5]
This record from Alexandria describes an optimized crystal structure of BaMgCd6In. The functional is PBE.

**E_tot**: -1.302 eV per atom
**Formation energy**: 0.03 eV per formula unit
**V**: 31.64 A^3/atom

Lattice parameters (Å, degrees): 10.826 10.826 10.826 149.33 116.77 71.91
Element x y z (fractional)
Ba1 0.335 0.085 0.250
Ba2 0.665 0.915 0.750
Mg1 0.000 0.000 0.500
Mg2 0.000 0.500 0.000
Cd1 0.142 0.892 0.250
Cd2 0.146 0.411 0.236
Cd3 0.146 0.910 0.735
Cd4 0.184 0.434 0.750
Cd5 0.325 0.090 0.736
Cd6 0.325 0.589 0.235
Cd7 0.675 0.411 0.765
Cd8 0.675 0.910 0.264
Cd9 0.816 0.566 0.250
Cd10 0.854 0.090 0.265
Cd11 0.854 0.589 0.764
Cd12 0.858 0.108 0.750
In1 0.000 0.500 0.500
In2 0.500 0.500 0.000

[6]
This record from Alexandria describes an optimized crystal structure of Ba2Mg3Cd4In. The functional is PBE.

**E_tot**: -1.727 eV per atom
**Formation energy**: -2.24 eV per formula unit
**V**: 29.71 A^3/atom

Lattice parameters (Å, degrees): 4.926 4.926 12.243 90.00 90.00 90.00
Element x y z (fractional)
Ba1 0.000 0.500 0.249
Ba2 0.500 0.000 0.751
Mg1 0.000 0.000 0.000
Mg2 0.000 0.500 0.629
Mg3 0.500 0.000 0.371
Cd1 0.000 0.000 0.500
Cd2 0.000 0.500 0.864
Cd3 0.500 0.000 0.136
Cd4 0.500 0.500 0.500
In1 0.500 0.500 0.000

[7]
This record from Alexandria describes an optimized crystal structure of BaMg2Cd2In. The functional is PBE.

**E_tot**: -1.804 eV per atom
**Formation energy**: -1.15 eV per formula unit
**V**: 28.85 A^3/atom

Lattice parameters (Å, degrees): 5.042 5.042 7.863 90.00 90.00 120.00
Element x y z (fractional)
Ba1 0.000 0.000 0.000
Mg1 0.333 0.667 0.662
Mg2 0.667 0.333 0.338
Cd1 0.333 0.667 0.264
Cd2 0.667 0.333 0.736
In1 0.000 0.000 0.500

[8]
This record from Alexandria describes an optimized crystal structure of Ba6CdIn2N. The functional is PBE.

**E_tot**: -2.907 eV per atom
**Formation energy without anion corrections**: -0.282 eV/atom
**V**: 42.52 A^3/atom

Lattice parameters (Å, degrees): 7.977 9.197 13.514 90.00 120.95 90.00
Element x y z (fractional)
Ba1 0.102 0.037 0.222
Ba2 0.102 0.463 0.722
Ba3 0.192 0.719 0.058
Ba4 0.192 0.781 0.558
Ba5 0.350 0.149 0.051
Ba6 0.350 0.351 0.551
Ba7 0.650 0.649 0.449
Ba8 0.650 0.851 0.949
Ba9 0.808 0.219 0.442
Ba10 0.808 0.281 0.942
Ba11 0.898 0.537 0.278
Ba12 0.898 0.963 0.778
Cd1 0.500 0.000 0.500
Cd2 0.500 0.500 0.000
In1 0.298 0.103 0.746
In2 0.298 0.397 0.246
In3 0.702 0.603 0.754
In4 0.702 0.897 0.254
N1 0.000 0.000 0.000
N2 0.000 0.500 0.500

[9]
This record from Alexandria describes an optimized crystal structure of Ba2NaCd3In4. The functional is PBE.

**E_tot**: -2.167 eV per atom
**Formation energy**: -2.80 eV per formula unit
**V**: 30.99 A^3/atom

Lattice parameters (Å, degrees): 4.959 4.959 12.601 90.00 90.00 90.00
Element x y z (fractional)
Ba1 0.000 0.500 0.240
Ba2 0.500 0.000 0.760
Na1 0.000 0.000 0.500
Cd1 0.000 0.500 0.869
Cd2 0.500 0.000 0.131
Cd3 0.500 0.500 0.500
In1 0.000 0.000 0.000
In2 0.000 0.500 0.641
In3 0.500 0.000 0.359
In4 0.500 0.500 0.000

[10]
This record from Alexandria describes an optimized crystal structure of BaNa2Cd2In2. The functional is PBE.

**E_tot**: -1.924 eV per atom
**Formation energy**: -1.60 eV per formula unit
**V**: 29.88 A^3/atom

Lattice parameters (Å, degrees): 9.538 9.538 9.538 31.40 31.40 31.40
Element x y z (fractional)
Ba1 0.000 0.000 0.000
Na1 0.139 0.139 0.139
Na2 0.861 0.861 0.861
Cd1 0.256 0.256 0.256
Cd2 0.744 0.744 0.744
In1 0.420 0.420 0.420
In2 0.580 0.580 0.580

[11]
This record from Alexandria describes an optimized crystal structure of Ba2NaCd4In3. The functional is PBE.

**E_tot**: -1.988 eV per atom
**Formation energy**: -2.84 eV per formula unit
**V**: 30.51 A^3/atom

Lattice parameters (Å, degrees): 5.043 5.043 11.999 90.00 90.00 90.00
Element x y z (fractional)
Ba1 0.000 0.500 0.240
Ba2 0.500 0.000 0.760
Na1 0.000 0.000 0.500
Cd1 0.000 0.000 0.000
Cd2 0.000 0.500 0.631
Cd3 0.500 0.000 0.369
Cd4 0.500 0.500 0.000
In1 0.000 0.500 0.868
In2 0.500 0.000 0.132
In3 0.500 0.500 0.500

[12]
This record from Alexandria describes an optimized crystal structure of Ba2Cd6InNi. The functional is PBE.

**E_tot**: -1.918 eV per atom
**Formation energy**: -1.33 eV per formula unit
**V**: 30.36 A^3/atom

Lattice parameters (Å, degrees): 7.547 7.547 7.547 120.07 120.07 89.89
Element x y z (fractional)
Ba1 0.250 0.750 0.500
Ba2 0.750 0.250 0.500
Cd1 0.234 0.234 0.000
Cd2 0.234 0.234 0.468
Cd3 0.234 0.766 0.000
Cd4 0.766 0.234 0.000
Cd5 0.766 0.766 0.000
Cd6 0.766 0.766 0.532
In1 0.500 0.500 0.000
Ni1 0.000 0.000 0.000